No. 1
! Pu2SiGe3Pd4, relaxed, DFT PBE-GGA; values from VASP
! formation energy from raw total energies: -598.2 meV/atom
! symmetry: P-4m2
! size of the total moment: 1.101 μB/atom
&SYSTEM
  ibrav = 0, nat = 10, ntyp = 4
/
ATOMIC_SPECIES
Pu 244.00 Pu.upf
Si 28.09 Si.upf
Ge 72.64 Ge.upf
Pd 106.42 Pd.upf
ATOMIC_POSITIONS angstrom
Pu 0.000 2.150 2.457
Pu 2.150 0.000 7.639
Si 2.150 2.150 0.000
Ge 0.000 0.000 0.000
Ge 0.000 2.150 6.404
Ge 2.150 0.000 3.692
Pd 0.000 0.000 5.048
Pd 0.000 2.150 8.866
Pd 2.150 0.000 1.230
Pd 2.150 2.150 5.048
CELL_PARAMETERS angstrom
4.300 0.000 0.000
0.000 4.300 0.000
0.000 0.000 10.096



No. 2
! Pu2SiGePd6, relaxed, DFT PBE-GGA; values from VASP
! formation energy from raw total energies: -517.3 meV/atom
! symmetry: Pmmn
! size of the total moment: 1.089 μB/atom
&SYSTEM
  ibrav = 0, nat = 20, ntyp = 4
/
ATOMIC_SPECIES
Pu 244.00 Pu.upf
Si 28.09 Si.upf
Ge 72.64 Ge.upf
Pd 106.42 Pd.upf
ATOMIC_POSITIONS angstrom
Pu 1.387 0.031 1.892
Pu 1.387 4.292 1.892
Pu 4.161 4.354 6.301
Pu 4.161 8.615 6.301
Si 1.387 2.162 6.131
Si 4.161 6.485 2.062
Ge 1.387 6.485 6.274
Ge 4.161 2.162 1.919
Pd 0.007 2.162 8.069
Pd 0.004 6.485 4.089
Pd 1.387 0.007 5.039
Pd 1.387 4.316 5.039
Pd 2.767 2.162 8.069
Pd 2.770 6.485 4.089
Pd 2.778 2.162 4.104
Pd 2.781 6.485 0.124
Pd 4.161 4.330 3.154
Pd 4.161 8.640 3.154
Pd 5.544 2.162 4.104
Pd 5.540 6.485 0.124
CELL_PARAMETERS angstrom
5.548 0.000 0.000
0.000 8.647 0.000
0.000 0.000 8.193



No. 3
! SmPuGePd, relaxed, DFT PBE-GGA; values from VASP
! E_tot: -7.747 eV/atom
! symmetry: F-43m
! size of the total moment: 1.344 μB/atom
&SYSTEM
  ibrav = 0, nat = 16, ntyp = 4
/
ATOMIC_SPECIES
Sm 150.36 Sm.upf
Pu 244.00 Pu.upf
Ge 72.64 Ge.upf
Pd 106.42 Pd.upf
ATOMIC_POSITIONS angstrom
Sm 0.000 0.000 0.000
Sm 0.000 3.595 3.595
Sm 3.595 0.000 3.595
Sm 3.595 3.595 0.000
Pu 0.000 0.000 3.595
Pu 0.000 3.595 0.000
Pu 3.595 0.000 0.000
Pu 3.595 3.595 3.595
Ge 1.798 1.798 1.798
Ge 1.798 5.393 5.393
Ge 5.393 1.798 5.393
Ge 5.393 5.393 1.798
Pd 1.798 1.798 5.393
Pd 1.798 5.393 1.798
Pd 5.393 1.798 1.798
Pd 5.393 5.393 5.393
CELL_PARAMETERS angstrom
7.191 0.000 0.000
0.000 7.191 0.000
0.000 0.000 7.191



No. 4
! PuSnGePd, relaxed, DFT PBE-GGA; values from VASP
! E_tot: -7.388 eV/atom
! symmetry: F-43m
! size of the total moment: 1.423 μB/atom
&SYSTEM
  ibrav = 0, nat = 16, ntyp = 4
/
ATOMIC_SPECIES
Pu 244.00 Pu.upf
Sn 118.71 Sn.upf
Ge 72.64 Ge.upf
Pd 106.42 Pd.upf
ATOMIC_POSITIONS angstrom
Pu 0.000 0.000 0.000
Pu 0.000 3.473 3.473
Pu 3.473 0.000 3.473
Pu 3.473 3.473 0.000
Sn 0.000 0.000 3.473
Sn 0.000 3.473 0.000
Sn 3.473 0.000 0.000
Sn 3.473 3.473 3.473
Ge 1.737 1.737 1.737
Ge 1.737 5.210 5.210
Ge 5.210 1.737 5.210
Ge 5.210 5.210 1.737
Pd 1.737 1.737 5.210
Pd 1.737 5.210 1.737
Pd 5.210 1.737 1.737
Pd 5.210 5.210 5.210
CELL_PARAMETERS angstrom
6.947 0.000 0.000
0.000 6.947 0.000
0.000 0.000 6.947



Copy entry 3 word for word.
! SmPuGePd, relaxed, DFT PBE-GGA; values from VASP
! E_tot: -7.747 eV/atom
! symmetry: F-43m
! size of the total moment: 1.344 μB/atom
&SYSTEM
  ibrav = 0, nat = 16, ntyp = 4
/
ATOMIC_SPECIES
Sm 150.36 Sm.upf
Pu 244.00 Pu.upf
Ge 72.64 Ge.upf
Pd 106.42 Pd.upf
ATOMIC_POSITIONS angstrom
Sm 0.000 0.000 0.000
Sm 0.000 3.595 3.595
Sm 3.595 0.000 3.595
Sm 3.595 3.595 0.000
Pu 0.000 0.000 3.595
Pu 0.000 3.595 0.000
Pu 3.595 0.000 0.000
Pu 3.595 3.595 3.595
Ge 1.798 1.798 1.798
Ge 1.798 5.393 5.393
Ge 5.393 1.798 5.393
Ge 5.393 5.393 1.798
Pd 1.798 1.798 5.393
Pd 1.798 5.393 1.798
Pd 5.393 1.798 1.798
Pd 5.393 5.393 5.393
CELL_PARAMETERS angstrom
7.191 0.000 0.000
0.000 7.191 0.000
0.000 0.000 7.191



Question: Among the records above, which one has the lowest size of the total moment?
Answer: Pu2SiGePd6



Question: The highest size of the total moment belongs to which entry?
Answer: PuSnGePd